[1]
Below is a relaxed PrSiI crystal, with properties calculated at the PBE-GGA level.

Cell and atoms, written as POSCAR:
```
PrSiI
1.0
-2.203 -0.610 -3.542
4.214 -0.006 -0.111
0.039 -12.231 2.084
I Si Pr
2 2 2
direct
0.333 0.667 0.335 I
0.667 0.333 0.665 I
0.667 0.333 0.005 Si
0.333 0.667 0.995 Si
0.000 0.000 0.162 Pr
0.000 0.000 0.838 Pr
```

Theoretical density = 5.1 g cm⁻³
Total magnetization = 0.00 μB/atom
Energy relative to the elements, uncorrected = -1068 meV/atom
E = -4.986 eV/atom

[2]
Below is a relaxed Pr5Si2I2 crystal, with properties calculated at the PBE-GGA level.

Cell and atoms, written as POSCAR:
```
Pr5Si2I2
1.0
7.633 0.000 2.771
0.000 8.059 0.000
1.053 0.000 8.998
Pr I Si
10 4 4
direct
0.951 0.331 0.759 Pr
0.049 0.669 0.241 Pr
0.210 0.169 0.241 Pr
0.000 0.000 0.000 Pr
0.790 0.831 0.759 Pr
0.500 0.500 0.000 Pr
0.549 0.831 0.241 Pr
0.451 0.169 0.759 Pr
0.290 0.669 0.759 Pr
0.710 0.331 0.241 Pr
0.794 0.000 0.412 I
0.206 0.000 0.588 I
0.294 0.500 0.412 I
0.706 0.500 0.588 I
0.623 0.123 0.000 Si
0.377 0.877 0.000 Si
0.123 0.377 0.000 Si
0.877 0.623 0.000 Si
```

Theoretical density = 6.4 g cm⁻³
Total magnetization = 0.00 μB/atom
Energy relative to the elements, uncorrected = -772 meV/atom
E = -4.977 eV/atom

[3]
Below is a relaxed Pr3Si2I3 crystal, with properties calculated at the PBE-GGA level.

Cell and atoms, written as POSCAR:
```
Pr3Si2I3
1.0
6.051 0.000 0.000
0.000 9.440 0.000
0.000 -4.720 8.175
Pr I Si
6 6 4
direct
0.250 0.000 0.395 Pr
0.750 0.395 0.395 Pr
0.250 0.605 0.605 Pr
0.750 0.605 0.000 Pr
0.250 0.395 0.000 Pr
0.750 0.000 0.605 Pr
0.750 0.251 0.000 I
0.250 0.749 0.000 I
0.250 0.251 0.251 I
0.250 0.000 0.749 I
0.750 0.000 0.251 I
0.750 0.749 0.749 I
0.000 0.667 0.333 Si
0.000 0.333 0.667 Si
0.500 0.667 0.333 Si
0.500 0.333 0.667 Si
```

Theoretical density = 6.1 g cm⁻³
Total magnetization = 0.00 μB/atom
Energy relative to the elements, uncorrected = -858 meV/atom
E = -4.587 eV/atom

[4]
Below is a relaxed Pr4Si2I3 crystal, with properties calculated at the PBE-GGA level.

Cell and atoms, written as POSCAR:
```
Pr4Si2I3
1.0
4.375 0.000 0.005
-2.188 3.789 -0.005
-0.003 0.002 19.331
Si Pr I
2 4 3
direct
0.667 0.333 0.801 Si
0.333 0.667 0.199 Si
0.334 0.666 0.879 Pr
0.666 0.334 0.121 Pr
0.001 0.999 0.714 Pr
0.999 0.001 0.286 Pr
0.000 0.000 0.000 I
0.334 0.666 0.606 I
0.666 0.334 0.394 I
```

ΔE to the lowest computed polymorph = 0 meV per atom
Theoretical density = 5.2 g cm⁻³
Total magnetization = 0.00 μB/atom
Energy relative to the elements, uncorrected = -1063 meV/atom
E = -4.909 eV/atom

[5]
Below is a relaxed Pr4SiI5 crystal, with properties calculated at the PBE-GGA level.

Cell and atoms, written as POSCAR:
```
Pr4SiI5
1.0
4.350 0.000 0.000
0.000 9.157 -0.429
-2.175 -1.735 9.732
Pr I Si
4 5 1
direct
0.353 0.926 0.705 Pr
0.000 0.786 0.000 Pr
0.000 0.214 0.000 Pr
0.647 0.074 0.295 Pr
0.829 0.174 0.658 I
0.171 0.826 0.342 I
0.500 0.500 0.000 I
0.833 0.663 0.667 I
0.167 0.337 0.333 I
0.500 0.000 0.000 Si
```

Theoretical density = 5.3 g cm⁻³
Total magnetization = 0.00 μB/atom
Energy relative to the elements, uncorrected = -1250 meV/atom
E = -4.479 eV/atom

[6]
Below is a relaxed Pr2SiI crystal, with properties calculated at the PBE-GGA level.

Cell and atoms, written as POSCAR:
```
Pr2SiI
1.0
-1.463 0.272 4.050
-2.808 -2.923 1.481
4.621 -5.429 4.333
Pr Si I
2 1 1
direct
0.066 0.066 0.802 Pr
0.268 0.268 0.197 Pr
0.668 0.668 0.997 Si
0.499 0.499 0.504 I
```

ΔE to the lowest computed polymorph = 19 meV per atom
Theoretical density = 5.7 g cm⁻³
Total magnetization = 0.00 μB/atom
Energy relative to the elements, uncorrected = -936 meV/atom
E = -5.069 eV/atom

Among the records above, which one has the highest theoretical density?
Pr5Si2I2